No. 1
# TmZnAs, optimized geometry, DFT GGA-PBE
data_TmZnAs
_symmetry_space_group_name_H-M 'F -4 3 m'
_symmetry_Int_Tables_number 216
_symmetry_space_group_name_Hall 'F -4 2 3'
_cell_length_a 6.4169
_cell_length_b 6.4169
_cell_length_c 6.4169
_cell_angle_alpha 90.00
_cell_angle_beta 90.00
_cell_angle_gamma 90.00
loop_
_atom_site_label
_atom_site_fract_x
_atom_site_fract_y
_atom_site_fract_z
_atom_site_occupancy
Tm1 0.0000 0.0000 0.0000 1
Zn1 0.2500 0.2500 0.7500 1
As1 0.0000 0.0000 0.5000 1
# Total magnetization, μB per cell: 0.0
# E, Ry per atom: -0.276

=====

No. 2
# Rb2LiHgI6, optimized geometry, DFT GGA-PBE
data_Rb2LiHgI6
_symmetry_space_group_name_H-M 'I 4/m'
_symmetry_Int_Tables_number 87
_symmetry_space_group_name_Hall '-I 4'
_cell_length_a 8.3759
_cell_length_b 8.3759
_cell_length_c 11.8521
_cell_angle_alpha 90.00
_cell_angle_beta 90.00
_cell_angle_gamma 90.00
loop_
_atom_site_label
_atom_site_fract_x
_atom_site_fract_y
_atom_site_fract_z
_atom_site_occupancy
Rb1 0.0000 0.5000 0.2500 1
Li1 0.0000 0.0000 0.0000 1
Hg1 0.0000 0.0000 0.5000 1
I1 0.0000 0.0000 0.2471 1
I2 0.2409 0.2533 0.0000 1
# E, Ry per atom: -0.158

=====

No. 3
# LiPmNb, optimized geometry, DFT GGA-PBE
data_LiPmNb
_symmetry_space_group_name_H-M 'F -4 3 m'
_symmetry_Int_Tables_number 216
_symmetry_space_group_name_Hall 'F -4 2 3'
_cell_length_a 6.7654
_cell_length_b 6.7654
_cell_length_c 6.7654
_cell_angle_alpha 90.00
_cell_angle_beta 90.00
_cell_angle_gamma 90.00
loop_
_atom_site_label
_atom_site_fract_x
_atom_site_fract_y
_atom_site_fract_z
_atom_site_occupancy
Li1 0.0000 0.0000 0.0000 1
Pm1 0.0000 0.0000 0.5000 1
Nb1 0.2500 0.2500 0.7500 1
# Total magnetization, μB per cell: 8.0
# E, Ry per atom: -0.324